1.
Here is a crystal of ScAlIn relaxed with PBEsol from Alexandria via LeMat-Bulk. Energies are from meta-GGA SCAN.

Calculated values
V = 59 Å³/f.u.
ρ = 5.22 g/cm3
Uncorrected energy = -18.90 eV per atom
Formation energy from the elements = -0.439 eV per atom

Cell lengths 4.6308, 4.6308, 3.2007 Å; angles 90.00, 90.00, 120.00 degrees
Sites, in units of the cell vectors:
Sc: 0.0000 0.0000 0.0000
Al: 0.6667 0.3333 0.5000
In: 0.3333 0.6667 0.5000



2.
Here is a crystal of La2MoPb relaxed with PBEsol from Alexandria via LeMat-Bulk. Energies are from meta-GGA SCAN.

Calculated values
V = 106 Å³/f.u.
ρ = 9.07 g/cm3
Uncorrected energy = -49.15 eV per atom
Formation energy from the elements = 0.067 eV per atom

Cell lengths 3.4139, 3.4139, 9.1273 Å; angles 90.00, 90.00, 90.20 degrees
Sites, in units of the cell vectors:
La: 0.0000 0.0000 0.2073
La: 0.0000 0.0000 0.7927
Mo: 0.5000 0.5000 0.0000
Pb: 0.5000 0.5000 0.5000



3.
Here is a crystal of Pr4MgCo relaxed with PBEsol from Alexandria via LeMat-Bulk. Energies are from meta-GGA SCAN.

Calculated values
V = 165 Å³/f.u.
ρ = 6.49 g/cm3
Uncorrected energy = -32.64 eV per atom
Formation energy from the elements = -0.048 eV per atom

Cell lengths 9.7825, 9.7825, 9.7825 Å; angles 60.00, 60.00, 60.00 degrees
Sites, in units of the cell vectors:
Pr: 0.0333 0.6556 0.6556
Pr: 0.0606 0.0606 0.4394
Pr: 0.0606 0.4394 0.0606
Pr: 0.0606 0.4394 0.4394
Pr: 0.1877 0.1877 0.8123
Pr: 0.1877 0.8123 0.1877
Pr: 0.1877 0.8123 0.8123
Pr: 0.4394 0.0606 0.0606
Pr: 0.4394 0.0606 0.4394
Pr: 0.4394 0.4394 0.0606
Pr: 0.6556 0.0333 0.6556
Pr: 0.6556 0.6556 0.0333
Pr: 0.6556 0.6556 0.6556
Pr: 0.8123 0.1877 0.1877
Pr: 0.8123 0.1877 0.8123
Pr: 0.8123 0.8123 0.1877
Mg: 0.4211 0.4211 0.4211
Mg: 0.4211 0.4211 0.7368
Mg: 0.4211 0.7368 0.4211
Mg: 0.7368 0.4211 0.4211
Co: 0.4227 0.8591 0.8591
Co: 0.8591 0.4227 0.8591
Co: 0.8591 0.8591 0.4227
Co: 0.8591 0.8591 0.8591